1.
# Sc2BeNi

An optimized crystal structure of Sc2BeNi (GGA-PBE, Alexandria via LeMat-Bulk).

Properties
Energy relative to the elements: -280 meV per atom
Symmetry: P4/mmm
DOS(E_F): 0.62 states/eV/atom

Cell lengths 3.1773, 3.1773, 6.2917 Å; angles 90.00, 90.00, 90.00 degrees
With the nearest neighbours (Å) after each atom.
Fractional positions:
Sc 0.0000 0.0000 0.2480  4 Be 2.74, 4 Ni 2.75
Sc 0.0000 0.0000 0.7520  4 Be 2.74, 4 Ni 2.75
Be 0.5000 0.5000 0.0000  8 Sc 2.74
Ni 0.5000 0.5000 0.5000  8 Sc 2.75

=====

2.
# KGdAu4

An optimized crystal structure of KGdAu4 (GGA-PBE, Alexandria via LeMat-Bulk).

Properties
Energy relative to the elements: -325 meV per atom
Symmetry: F-43m
DOS(E_F): 1.53 states/eV/atom

Cell lengths 5.7567, 5.7567, 5.7567 Å; angles 60.00, 60.00, 60.00 degrees
With the nearest neighbours (Å) after each atom.
Fractional positions:
K 0.0000 0.0000 0.0000  12 Au 3.37, 4 Gd 3.53
Gd 0.2500 0.2500 0.2500  12 Au 3.38, 4 K 3.53
Au 0.1246 0.6251 0.6251  6 Au 2.88
Au 0.6251 0.1246 0.6251  6 Au 2.88
Au 0.6251 0.6251 0.1246  6 Au 2.88
Au 0.6251 0.6251 0.6251  6 Au 2.88

=====

3.
# Fe2CoGe

An optimized crystal structure of Fe2CoGe (GGA-PBE, Alexandria via LeMat-Bulk).

Properties
Energy relative to the elements: 34 meV per atom
Symmetry: P4/mmm
DOS(E_F): 0.83 states/eV/atom

Cell lengths 3.0671, 3.0671, 5.1500 Å; angles 90.00, 90.00, 90.00 degrees
With the nearest neighbours (Å) after each atom.
Fractional positions:
Fe 0.0000 0.0000 0.2499  4 Co 2.52, 4 Ge 2.52, 2 Fe 2.57-2.58
Fe 0.0000 0.0000 0.7501  4 Co 2.52, 4 Ge 2.52, 2 Fe 2.57-2.58
Co 0.5000 0.5000 0.0000  8 Fe 2.52, 2 Ge 2.57
Ge 0.5000 0.5000 0.5000  8 Fe 2.52, 2 Co 2.57

=====

4.
# AcNiS4

An optimized crystal structure of AcNiS4 (GGA-PBE, Alexandria via LeMat-Bulk).

Properties
Symmetry: C2/m
DOS(E_F): 0.25 states/eV/atom
Uncorrected formation energy: -901 meV/atom

Cell lengths 6.6880, 6.6880, 7.0708 Å; angles 92.65, 92.65, 56.18 degrees
With the nearest neighbours (Å) after each atom.
Fractional positions:
Ac 0.2056 0.2056 0.2230  7 S 2.94-3.26, 1 Ni 3.28
Ac 0.7944 0.7944 0.7770  7 S 2.94-3.26, 1 Ni 3.28
Ni 0.0728 0.0728 0.7945  5 S 2.21-2.32
Ni 0.9272 0.9272 0.2055  5 S 2.21-2.32
S 0.1585 0.6803 0.4364  1 S 2.06, 1 Ni 2.23
S 0.2183 0.7817 0.0000  2 Ni 2.21
S 0.2692 0.2692 0.8272  1 Ni 2.32
S 0.3197 0.8415 0.5636  1 S 2.06, 1 Ni 2.23
S 0.6803 0.1585 0.4364  1 S 2.06, 1 Ni 2.23
S 0.7308 0.7308 0.1728  1 Ni 2.32
S 0.7817 0.2183 0.0000  2 Ni 2.21
S 0.8415 0.3197 0.5636  1 S 2.06, 1 Ni 2.23

=====

5.
# CrSnPdAu

An optimized crystal structure of CrSnPdAu (GGA-PBE, Alexandria via LeMat-Bulk).

Properties
Energy relative to the elements: -89 meV per atom
Symmetry: F-43m
DOS(E_F): 0.74 states/eV/atom

Cell lengths 4.6345, 4.6345, 4.6345 Å; angles 60.00, 60.00, 60.00 degrees
With the nearest neighbours (Å) after each atom.
Fractional positions:
Cr 0.0000 0.0000 0.0000  4 Pd 2.84, 4 Au 2.84
Sn 0.5000 0.5000 0.5000  4 Au 2.84, 4 Pd 2.84
Pd 0.7500 0.7500 0.7500  4 Sn 2.84, 4 Cr 2.84
Au 0.2500 0.2500 0.2500  4 Sn 2.84, 4 Cr 2.84

=====

6.
# Nb2Tc2W

An optimized crystal structure of Nb2Tc2W (GGA-PBE, Alexandria via LeMat-Bulk).

Properties
Energy relative to the elements: 128 meV per atom
Symmetry: Cmmm
DOS(E_F): 0.86 states/eV/atom

Cell lengths 9.2637, 9.2637, 3.0600 Å; angles 90.00, 90.00, 161.03 degrees
With the nearest neighbours (Å) after each atom.
Fractional positions:
Nb 0.1830 0.8170 0.0000  4 Tc 2.80, 6 Nb 2.89-3.06
Nb 0.8170 0.1830 0.0000  4 Tc 2.80, 6 Nb 2.89-3.06
Tc 0.4147 0.5853 0.5000  4 W 2.66, 4 Nb 2.80
Tc 0.5853 0.4147 0.5000  4 W 2.66, 4 Nb 2.80
W 0.0000 0.0000 0.0000  8 Tc 2.66

=====

7.
# AcBi2F

An optimized crystal structure of AcBi2F (GGA-PBE, Alexandria via LeMat-Bulk).

Properties
Symmetry: P4/mmm
DOS(E_F): 0.38 states/eV/atom
Uncorrected formation energy: -1360 meV/atom

Cell lengths 4.3881, 4.3881, 5.8554 Å; angles 90.00, 90.00, 90.00 degrees
With the nearest neighbours (Å) after each atom.
Fractional positions:
Ac 0.0000 0.0000 0.0000  4 F 3.10
Bi 0.0000 0.5000 0.5000  4 Bi 3.10
Bi 0.5000 0.0000 0.5000  4 Bi 3.10
F 0.5000 0.5000 0.0000  4 Ac 3.10

=====

8.
# CaCu2W

An optimized crystal structure of CaCu2W (GGA-PBE, Alexandria via LeMat-Bulk).

Properties
Energy relative to the elements: 1085 meV per atom
Symmetry: I-42d
DOS(E_F): 1.02 states/eV/atom

Cell lengths 9.2328, 9.2328, 9.2328 Å; angles 151.20, 151.20, 41.18 degrees
With the nearest neighbours (Å) after each atom.
Fractional positions:
Ca 0.0000 0.0000 0.0000  4 Cu 3.12, 4 W 3.25
Ca 0.7500 0.2500 0.5000  4 Cu 3.12, 4 W 3.25
Cu 0.2956 0.6250 0.1706  2 Cu 2.41, 2 W 2.47
Cu 0.3750 0.5456 0.6706  2 Cu 2.41, 2 W 2.47
Cu 0.4544 0.1250 0.8294  2 Cu 2.41, 2 W 2.47
Cu 0.8750 0.7044 0.3294  2 Cu 2.41, 2 W 2.47
W 0.2500 0.7500 0.5000  4 Cu 2.47
W 0.5000 0.5000 0.0000  4 Cu 2.47